Entry from OQMD via LeMat-Bulk: crystalline CdSiAsP at its relaxed geometry (PBE).

The structure belongs to space group Cc (No. 9); the cell edges are 8.2632, 8.2646 and 6.7392 Å and the angles 90.00°, 126.94° and 90.00°. Symmetry generates all atoms from Cd at (0.0000, 0.1317, 0.0000), Si at (0.4860, 0.1181, 0.0003), As at (0.3450, 0.3547, 0.7501) and P at (0.3876, 0.1022, 0.2501).

The energy comes out at -68.14 eV per cell. Its density is 4.45 Mg/m³. For the volume, the calculation gives 22.99 Å³/atom.